This record from Alexandria describes LiCd2Cu after structural relaxation. The functional is PBE.

Cell: 2.923 4.148 13.809 Å, 90.00 90.00 90.00°
Space group Immm (No. 71)
One atom of each set of equivalent atoms:
Li: 0.000 0.000 0.000
Cd: 0.000 0.000 0.313
Cu: 0.000 0.000 0.500

Values from the calculation:
- ΔE_f (eV/atom) = 0.1300
- total moment (μB per cell) = 0.0
- final energy (eV/atom) = -1.8300

***

This record from Alexandria describes Li8CdCu4 after structural relaxation. The functional is PBE.

Cell: 9.056 9.056 4.927 Å, 90.00 90.00 90.00°
Space group I4/mmm (No. 139)
One atom of each set of equivalent atoms:
Li: 0.000 0.207 0.000
Li: 0.000 0.335 0.500
Cd: 0.000 0.000 0.500
Cu: 0.250 0.250 0.250

Values from the calculation:
- ΔE_f (eV/atom) = -0.0366
- total moment (μB per cell) = 0.0
- final energy (eV/atom) = -2.5451

***

This record from Alexandria describes Li2CdCu after structural relaxation. The functional is PBE.

Cell: 6.325 6.325 6.325 Å, 90.00 90.00 90.00°
Space group F-43m (No. 216)
One atom of each set of equivalent atoms:
Li: 0.000 0.000 0.000
Li: 0.250 0.250 0.250
Cd: 0.250 0.250 0.750
Cu: 0.000 0.000 0.500

Values from the calculation:
- ΔE_f (eV/atom) = -0.1357
- total moment (μB per cell) = 0.0
- final energy (eV/atom) = -2.3455

***

This record from Alexandria describes LiCdCu after structural relaxation. The functional is PBE.

Cell: 4.575 8.990 4.554 Å, 90.00 92.52 90.00°
Space group C2/c (No. 15)
One atom of each set of equivalent atoms:
Li: 0.000 0.075 0.250
Cd: 0.000 0.254 0.750
Cu: 0.000 0.429 0.250

Values from the calculation:
- ΔE_f (eV/atom) = -0.1152
- total moment (μB per cell) = 0.0
- final energy (eV/atom) = -2.4236
- E above lowest polymorph (kJ/mol of atoms) = 0.0

***

This record from Alexandria describes LiCd6Cu after structural relaxation. The functional is PBE.

Cell: 5.309 5.511 5.819 Å, 78.51 87.28 88.52°
Space group P-1 (No. 2)
One atom of each set of equivalent atoms:
Li: 0.000 0.000 0.000
Cd: 0.044 0.258 0.453
Cd: 0.257 0.459 0.930
Cd: 0.484 0.995 0.252
Cu: 0.500 0.500 0.500

Values from the calculation:
- ΔE_f (eV/atom) = 0.0043
- total moment (μB per cell) = 0.0
- final energy (eV/atom) = -1.4333
- E above lowest polymorph (kJ/mol of atoms) = 5.1

***

This record from Alexandria describes Li3CdCu8 after structural relaxation. The functional is PBE.

Cell: 4.8939 4.8939 24.4369 Å, 90.00 90.00 120.00°
Space group R3m (No. 160, hexagonal axes)
One atom of each set of equivalent atoms:
Li: 0.0000 0.0000 0.0000
Li: 0.0000 0.0000 0.1238
Li: 0.0000 0.0000 0.6260
Cd: 0.0000 0.0000 0.4989
Cu: 0.0000 0.0000 0.3126
Cu: 0.0000 0.0000 0.8122
Cu: 0.9996 0.4998 0.0617
Cu: 0.0001 0.5001 0.5633

Values from the calculation:
- ΔE_f (eV/atom) = -0.0648
- total moment (μB per cell) = 0.0
- final energy (eV/atom) = -3.3503